[1]
Compound: LaYSc
Source: Alexandria via LeMat-Bulk
Functional: SCAN
Structure: single point on PBEsol structure

Summary:
E above lowest polymorph ... 0.000 eV/atom
Energy of formation ... 0.074 eV/atom

Unit cell a=3.5013 b=4.7941 c=10.4105 alpha=90.00 beta=90.00 gamma=90.00
Closest atoms and distances in Å follow each position.
Fractional coordinates of all 6 atoms:
La 0.0000 0.0000 0.0000  5 Y 3.36-3.49, 5 Sc 3.43-3.49, 2 La 3.50
La 0.5000 0.5000 0.5000  5 Y 3.36-3.49, 5 Sc 3.43-3.49, 2 La 3.50
Y 0.0000 0.0000 0.3229  5 La 3.36-3.49, 5 Sc 3.40-3.56, 2 Y 3.50
Y 0.5000 0.5000 0.8229  5 La 3.36-3.49, 5 Sc 3.40-3.56, 2 Y 3.50
Sc 0.0000 0.0000 0.6646  5 Y 3.40-3.56, 5 La 3.43-3.49, 2 Sc 3.50
Sc 0.5000 0.5000 0.1646  5 Y 3.40-3.56, 5 La 3.43-3.49, 2 Sc 3.50


[2]
Compound: TiTcSn2Br
Source: Alexandria via LeMat-Bulk
Functional: SCAN
Structure: single point on PBEsol structure

Summary:
Formation energy (no corrections) ... 1.36 eV per atom

Unit cell a=5.3069 b=5.3069 c=4.5099 alpha=90.00 beta=90.00 gamma=90.00
Closest atoms and distances in Å follow each position.
Fractional coordinates of all 5 atoms:
Ti 0.0000 0.0000 0.0000  2 Br 2.25
Tc 0.5000 0.5000 0.0000  8 Sn 3.48, 4 Ti 3.75
Sn 0.0000 0.5000 0.5000  2 Br 2.65
Sn 0.5000 0.0000 0.5000  2 Br 2.65
Br 0.0000 0.0000 0.5000  2 Ti 2.25


[3]
Compound: AgGeC2N
Source: Alexandria via LeMat-Bulk
Functional: SCAN
Structure: single point on PBEsol structure

Summary:
Formation energy (no corrections) ... 2.78 eV per atom

Unit cell a=3.7828 b=3.7828 c=4.1093 alpha=90.00 beta=90.00 gamma=90.00
Closest atoms and distances in Å follow each position.
Fractional coordinates of all 5 atoms:
Ag 0.0000 0.0000 0.0000  2 N 2.05
Ge 0.5000 0.5000 0.0000  4 Ag 2.67, 8 C 2.79
C 0.0000 0.5000 0.5000  2 N 1.89
C 0.5000 0.0000 0.5000  2 N 1.89
N 0.0000 0.0000 0.5000  4 C 1.89, 2 Ag 2.05